1.
Material: RuPt2Cl
Method: DFT, GGA-PBEsol
State: relaxed

## Properties
size of the total moment	0.00	Bohr magnetons per cell
E_form (uncorrected)	0.26	eV per atom

Cell lengths 2.8217, 2.8217, 8.9609 Å; angles 80.94, 80.94, 60.00 degrees
Fractional coordinates of all 4 atoms:
Pt: 0.0047 0.0047 0.9858
Pt: 0.7568 0.7568 0.7295
Ru: 0.5014 0.5014 0.4959
Cl: 0.2371 0.2371 0.2888

2.
Material: MnMo2W
Method: DFT, GGA-PBEsol
State: relaxed

## Properties
total DFT energy (no corrections)	-11.69	eV per atom
size of the total moment	1.52	Bohr magnetons per cell

Cell lengths 2.6734, 2.6734, 8.4868 Å; angles 90.00, 90.00, 108.58 degrees
Fractional coordinates of all 4 atoms:
W: 0.0000 0.0000 0.4859
Mo: 0.0000 0.0000 0.0142
Mo: 0.5000 0.5000 0.7510
Mn: 0.5000 0.5000 0.2489

3.
Material: KCaOs2
Method: DFT, GGA-PBEsol
State: relaxed

## Properties
total DFT energy (no corrections)	-6.34	eV per atom
size of the total moment	0.00	Bohr magnetons per cell

Cell lengths 2.8669, 3.8429, 9.2574 Å; angles 90.00, 90.00, 90.00 degrees
Fractional coordinates of all 4 atoms:
Os: 0.0000 0.0000 0.0935
Os: 0.5000 0.5000 0.1857
Ca: 0.0000 0.0000 0.4024
K: 0.5000 0.5000 0.8183